[1]
Density functional theory data (PBE) for a relaxed structure of Sc4Zn. Values from VASP.

Summary:
* energy relative to the lowest polymorph listed for this composition: 406 meV per atom
* calculated formation energy: 0.289 eV/atom

The structure in Quantum ESPRESSO input format:
```
&SYSTEM
  ibrav = 0, nat = 5, ntyp = 2
/
ATOMIC_SPECIES
Sc 44.96 Sc.upf
Zn 65.41 Zn.upf
ATOMIC_POSITIONS angstrom
Sc -3.3453 0.8982 0.9400
Sc 0.0000 0.0000 0.0000
Sc -1.9472 -2.2183 2.0417
Sc -2.7936 -1.7535 -1.4149
Zn -4.0430 -1.5368 0.7834
CELL_PARAMETERS angstrom
-4.1917 1.3630 -2.5167
-1.3955 -4.8700 -0.3132
-2.4988 0.4333 4.3966
```


[2]
Density functional theory data (PBE) for a relaxed structure of MgMnAl2. Values from VASP.

Summary:
* calculated formation energy: -0.088 eV/atom

The structure in Quantum ESPRESSO input format:
```
&SYSTEM
  ibrav = 0, nat = 4, ntyp = 3
/
ATOMIC_SPECIES
Mn 54.94 Mn.upf
Mg 24.30 Mg.upf
Al 26.98 Al.upf
ATOMIC_POSITIONS angstrom
Mn 3.6874 -0.0039 3.9512
Mg 1.9135 -1.2532 1.4574
Al 3.3667 2.3711 4.7331
Al 1.9550 1.3768 2.7484
CELL_PARAMETERS angstrom
-0.4686 -2.5414 1.6064
2.5217 -1.2143 -1.1854
3.5478 2.4986 4.9876
```


[3]
Density functional theory data (PBE) for a relaxed structure of SrLiPaSe3. Values from VASP.

Summary:
* ΔE_f (raw): -1.49 eV per atom

The structure in Quantum ESPRESSO input format:
```
&SYSTEM
  ibrav = 0, nat = 12, ntyp = 4
/
ATOMIC_SPECIES
Se 78.96 Se.upf
Sr 87.62 Sr.upf
Pa 231.04 Pa.upf
Li 6.94 Li.upf
ATOMIC_POSITIONS angstrom
Se -0.6106 -2.7185 -3.9464
Se 2.2265 -4.5254 -6.4523
Se 0.8186 -6.4006 -3.1008
Se -2.3548 -7.3612 -0.8412
Se -5.1919 -5.5543 1.6647
Se -3.7839 -3.6791 -1.6868
Sr -1.0327 -2.1438 -0.9049
Sr -1.9327 -7.9359 -3.8827
Pa 2.0747 -3.8011 -3.5909
Pa -5.0401 -6.2786 -1.1967
Li -3.6628 -3.7678 0.8171
Li 0.6974 -6.3118 -5.6047
CELL_PARAMETERS angstrom
-2.4722 0.5872 -3.2223
5.4440 -4.7189 -5.0366
-5.9372 -5.9480 3.4713
```


[4]
Density functional theory data (PBE) for a relaxed structure of ZrSi2Au2. Values from VASP.

Summary:
* ΔE_f (raw): -0.16 eV per atom

The structure in Quantum ESPRESSO input format:
```
&SYSTEM
  ibrav = 0, nat = 10, ntyp = 3
/
ATOMIC_SPECIES
Au 196.97 Au.upf
Si 28.09 Si.upf
Zr 91.22 Zr.upf
ATOMIC_POSITIONS angstrom
Au 6.2627 2.5774 1.6039
Au 2.5774 1.1078 1.6039
Au 4.7931 6.2627 1.6039
Au 1.1078 4.7931 1.6039
Si 4.7846 1.0993 0.0000
Si 2.5859 6.2712 0.0000
Si 1.0993 2.5859 0.0000
Si 6.2712 4.7846 0.0000
Zr 3.6853 3.6853 0.0000
Zr 0.0000 0.0000 0.0000
CELL_PARAMETERS angstrom
7.3705 0.0000 0.0000
0.0000 7.3705 0.0000
0.0000 0.0000 3.2078
```


[5]
Density functional theory data (PBE) for a relaxed structure of CeTmMn17. Values from VASP.

Summary:
* calculated formation energy: 0.007 eV/atom

The structure in Quantum ESPRESSO input format:
```
&SYSTEM
  ibrav = 0, nat = 19, ntyp = 3
/
ATOMIC_SPECIES
Mn 54.94 Mn.upf
Tm 168.93 Tm.upf
Ce 140.12 Ce.upf
ATOMIC_POSITIONS angstrom
Mn -1.8684 4.2775 3.7989
Mn -3.2887 3.3058 -1.8009
Mn -1.7540 6.1308 1.8790
Mn -2.0995 1.8206 4.1550
Mn -0.3180 4.9881 0.0685
Mn -5.1329 4.2174 -0.2472
Mn -0.7004 0.8468 0.3510
Mn -2.7233 5.3452 -0.4826
Mn -4.6411 1.7251 -0.6862
Mn -3.9008 0.8005 3.0215
Mn 0.7108 3.0045 0.6073
Mn 0.1309 4.4274 2.3168
Mn -1.7335 0.1476 2.6219
Mn -2.5448 1.1609 -1.4414
Mn -6.3282 7.6507 3.1713
Mn -4.2909 3.1657 3.9699
Mn -5.2989 2.3348 1.6402
Tm -2.4870 3.0067 1.2463
Ce -4.5379 5.4863 2.2741
CELL_PARAMETERS angstrom
-5.0845 2.2785 -2.9380
-3.4462 0.2323 5.2674
1.4899 6.0015 1.1991
```


[6]
Density functional theory data (PBE) for a relaxed structure of HfMgHg2Sb. Values from VASP.

Summary:
* ΔE_f (raw): 0.97 eV per atom

The structure in Quantum ESPRESSO input format:
```
&SYSTEM
  ibrav = 0, nat = 5, ntyp = 4
/
ATOMIC_SPECIES
Mg 24.30 Mg.upf
Hf 178.49 Hf.upf
Sb 121.76 Sb.upf
Hg 200.59 Hg.upf
ATOMIC_POSITIONS angstrom
Mg 0.0000 2.5934 0.0000
Hf 2.7403 2.5934 2.7403
Sb 0.0000 0.0000 0.0000
Hg 0.0000 0.0000 2.7403
Hg 2.7403 0.0000 0.0000
CELL_PARAMETERS angstrom
5.4806 0.0000 0.0000
0.0000 5.1869 0.0000
0.0000 0.0000 5.4806
```


Number 1: electronic total energy -0.185 hartree per atom. Number 2: electronic total energy -0.171 hartree per atom. Number 3: electronic total energy -0.199 hartree per atom. Number 4: electronic total energy -0.196 hartree per atom. Number 5: electronic total energy -0.321 hartree per atom. Number 6: electronic total energy -0.084 hartree per atom.